# GGA-PBE Sr3IrI2, optimized geometry
# DOS(E_F) = 59.36 states/eV/cell
# Crystal system = orthorhombic
# Raw total energy = -3.7502 eV per atom
# Formation energy from raw total energies = -916 meV/atom
# Density = 5.36 g/cm3
data_Sr3IrI2
_symmetry_space_group_name_H-M 'F d d d'
_symmetry_Int_Tables_number 70
_cell_length_a 9.688
_cell_length_b 13.265
_cell_length_c 27.342
_cell_angle_alpha 90.00
_cell_angle_beta 90.00
_cell_angle_gamma 90.00
loop_
_symmetry_equiv_pos_as_xyz
'x,y,z'
'-x,-y,-z'
'-x+1/4,-y+1/4,z'
'x+1/4,y+1/4,-z'
'x,-y+1/4,-z+1/4'
'-x,y+1/4,z+1/4'
'-x+1/4,y,-z+1/4'
'x+1/4,-y,z+1/4'
'x,y+1/2,z+1/2'
'-x,-y+1/2,-z+1/2'
'-x+1/4,-y+3/4,z+1/2'
'x+1/4,y+3/4,-z+1/2'
'x,-y+3/4,-z+3/4'
'-x,y+3/4,z+3/4'
'-x+1/4,y+1/2,-z+3/4'
'x+1/4,-y+1/2,z+3/4'
'x+1/2,y,z+1/2'
'-x+1/2,-y,-z+1/2'
'-x+3/4,-y+1/4,z+1/2'
'x+3/4,y+1/4,-z+1/2'
'x+1/2,-y+1/4,-z+3/4'
'-x+1/2,y+1/4,z+3/4'
'-x+3/4,y,-z+3/4'
'x+3/4,-y,z+3/4'
'x+1/2,y+1/2,z'
'-x+1/2,-y+1/2,-z'
'-x+3/4,-y+3/4,z'
'x+3/4,y+3/4,-z'
'x+1/2,-y+3/4,-z+1/4'
'-x+1/2,y+3/4,z+1/4'
'-x+3/4,y+1/2,-z+1/4'
'x+3/4,-y+1/2,z+1/4'
loop_
_atom_site_label
_atom_site_fract_x
_atom_site_fract_y
_atom_site_fract_z
Sr1 0.070 0.375 0.375
Sr2 0.100 0.351 0.218
Ir1 0.125 0.125 0.041
I1 0.125 0.125 0.383
I2 0.125 0.125 0.548